No. 1
This record from the Alexandria database describes a relaxed TbSm4Cd3 crystal. The functional is PBE.

Lattice parameters (Å, degrees): 3.7866 5.4905 11.1152 90.00 90.00 90.00
With the nearest neighbours (Å) after each atom.
Fractional positions:
Tb: 0.0000 0.0000 0.0000  8 Sm 3.33-3.48
Sm: 0.5000 0.0000 0.2626  6 Cd 3.25-3.34, 2 Tb 3.48
Sm: 0.5000 0.0000 0.7374  6 Cd 3.25-3.34, 2 Tb 3.48
Sm: 0.5000 0.5000 0.0000  4 Tb 3.33, 4 Cd 3.34
Sm: 0.5000 0.5000 0.5000  8 Cd 3.33-3.38
Cd: 0.0000 0.0000 0.5000  8 Sm 3.25-3.33
Cd: 0.0000 0.5000 0.2476  8 Sm 3.34-3.38
Cd: 0.0000 0.5000 0.7524  8 Sm 3.34-3.38

## Properties
- space-group type = No. 47
- total moment (μB per formula unit) = 0.0
- total DFT energy (no corrections) (eV per atom) = -3.466
- DFT formation energy (eV/atom) = -0.18

***

No. 2
This record from the Alexandria database describes a relaxed Tb4Sm3Cd crystal. The functional is PBE.

Lattice parameters (Å, degrees): 3.6027 3.6027 19.2993 90.00 90.00 90.00
With the nearest neighbours (Å) after each atom.
Fractional positions:
Tb: 0.0000 0.0000 0.1065  4 Cd 3.27, 4 Sm 3.58, 4 Tb 3.60
Tb: 0.0000 0.0000 0.3684  8 Sm 3.60, 4 Tb 3.60
Tb: 0.0000 0.0000 0.6316  8 Sm 3.60, 4 Tb 3.60
Tb: 0.0000 0.0000 0.8935  4 Cd 3.27, 4 Sm 3.58, 4 Tb 3.60
Sm: 0.5000 0.5000 0.2367  8 Tb 3.58-3.60, 4 Sm 3.60
Sm: 0.5000 0.5000 0.5000  8 Tb 3.60, 4 Sm 3.60
Sm: 0.5000 0.5000 0.7633  8 Tb 3.58-3.60, 4 Sm 3.60
Cd: 0.5000 0.5000 0.0000  8 Tb 3.27, 4 Cd 3.60

## Properties
- space-group type = No. 123
- total moment (μB per formula unit) = 0.0
- total DFT energy (no corrections) (eV per atom) = -4.266
- DFT formation energy (eV/atom) = -0.07

***

No. 3
This record from the Alexandria database describes a relaxed TbSm4Cd crystal. The functional is PBE.

Lattice parameters (Å, degrees): 8.4334 8.4334 6.3875 100.01 100.01 116.64
With the nearest neighbours (Å) after each atom.
Fractional positions:
Tb: 0.0880 0.9120 0.7500  10 Sm 3.49-3.85
Tb: 0.9120 0.0880 0.2500  10 Sm 3.49-3.85
Sm: 0.0945 0.3352 0.8764  2 Cd 3.33-3.37, 4 Sm 3.36-3.66, 2 Tb 3.49-3.54
Sm: 0.2114 0.5929 0.4550  2 Cd 3.26-3.28, 5 Sm 3.36-3.59, 1 Tb 3.65
Sm: 0.3352 0.0945 0.3764  2 Cd 3.33-3.37, 4 Sm 3.36-3.66, 2 Tb 3.49-3.54
Sm: 0.4071 0.7886 0.0450  2 Cd 3.26-3.28, 5 Sm 3.36-3.59, 1 Tb 3.65
Sm: 0.5929 0.2114 0.9550  2 Cd 3.26-3.28, 5 Sm 3.36-3.59, 1 Tb 3.65
Sm: 0.6648 0.9055 0.6236  2 Cd 3.33-3.37, 4 Sm 3.36-3.66, 2 Tb 3.49-3.54
Sm: 0.7886 0.4071 0.5450  2 Cd 3.26-3.28, 5 Sm 3.36-3.59, 1 Tb 3.65
Sm: 0.9055 0.6648 0.1236  2 Cd 3.33-3.37, 4 Sm 3.36-3.66, 2 Tb 3.49-3.54
Cd: 0.4992 0.5008 0.7500  2 Cd 3.19, 8 Sm 3.26-3.37
Cd: 0.5008 0.4992 0.2500  2 Cd 3.19, 8 Sm 3.26-3.37

## Properties
- space-group type = No. 15
- total moment (μB per formula unit) = 0.0
- total DFT energy (no corrections) (eV per atom) = -4.066
- DFT formation energy (eV/atom) = 0.00

***

No. 4
This record from the Alexandria database describes a relaxed TbSm5Cd3 crystal. The functional is PBE.

Lattice parameters (Å, degrees): 9.3554 9.3554 7.0256 90.00 90.00 120.00
With the nearest neighbours (Å) after each atom.
Fractional positions:
Tb: 0.0000 0.0000 0.0000  2 Tb 3.51, 6 Cd 3.56, 6 Sm 3.58
Tb: 0.0000 0.0000 0.5000  2 Tb 3.51, 6 Cd 3.56, 6 Sm 3.58
Sm: 0.0000 0.3340 0.2500  3 Cd 3.11-3.14
Sm: 0.0000 0.6660 0.7500  3 Cd 3.11-3.14
Sm: 0.3333 0.6667 0.0000  8 Sm 3.51-3.58, 6 Cd 3.59
Sm: 0.3333 0.6667 0.5000  8 Sm 3.51-3.58, 6 Cd 3.59
Sm: 0.3340 0.0000 0.2500  3 Cd 3.11-3.14
Sm: 0.3340 0.3340 0.7500  3 Cd 3.11-3.14
Sm: 0.6660 0.0000 0.7500  3 Cd 3.11-3.14
Sm: 0.6660 0.6660 0.2500  3 Cd 3.11-3.14
Sm: 0.6667 0.3333 0.0000  8 Sm 3.51-3.58, 6 Cd 3.59
Sm: 0.6667 0.3333 0.5000  8 Sm 3.51-3.58, 6 Cd 3.59
Cd: 0.0000 0.3307 0.7500  3 Sm 3.11-3.14
Cd: 0.0000 0.6693 0.2500  3 Sm 3.11-3.14
Cd: 0.3307 0.0000 0.7500  3 Sm 3.11-3.14
Cd: 0.3307 0.3307 0.2500  3 Sm 3.11-3.14
Cd: 0.6693 0.0000 0.2500  3 Sm 3.11-3.14
Cd: 0.6693 0.6693 0.7500  3 Sm 3.11-3.14

## Properties
- space-group type = No. 193
- total moment (μB per formula unit) = 0.0
- total DFT energy (no corrections) (eV per atom) = -3.617
- DFT formation energy (eV/atom) = -0.18